Below is YAlFeTc after structural relaxation, with properties calculated at the PBE level.

It has space group F-43m (No. 216), with a = 6.408 Å, b = 6.408 Å, c = 6.408 Å, α = 90.00°, β = 90.00° and γ = 90.00°. The distinct sites, in fractional coordinates, are Y at (0.000, 0.000, 0.000), Al at (0.000, 0.000, 0.500), Fe at (0.250, 0.250, 0.750) and Tc at (0.250, 0.250, 0.250).

The calculation puts the volume at 16.4 Å³ per atom. For the magnetic moment, the calculation gives 9.8 μB per cell. The electronic total energy comes out at -7.16 eV per atom.